(1)
Below is a PBEsol-optimized structure of Cd3BPd, with properties calculated at the SCAN level. Values from VASP.

```
&SYSTEM
  ibrav = 0, nat = 5, ntyp = 3
/
ATOMIC_SPECIES
Cd 112.41 Cd.upf
B 10.81 B.upf
Pd 106.42 Pd.upf
CELL_PARAMETERS angstrom
5.031 0.000 0.000
0.000 5.031 0.000
0.000 0.000 5.031
ATOMIC_POSITIONS angstrom
Cd 0.000 0.000 2.515
Cd 0.000 2.515 0.000
Cd 2.515 0.000 0.000
B 2.515 2.515 2.515
Pd 0.000 0.000 0.000
```

Output
Its space group is Pm-3m (221). The formation energy is 1045 meV/atom. For the total magnetization, the calculation gives 0.0 μB/cell.

***

(2)
Below is a PBEsol-optimized structure of AlAsS3, with properties calculated at the SCAN level. Values from VASP.

```
&SYSTEM
  ibrav = 0, nat = 5, ntyp = 3
/
ATOMIC_SPECIES
Al 26.98 Al.upf
As 74.92 As.upf
S 32.06 S.upf
CELL_PARAMETERS angstrom
4.523 0.000 0.000
0.000 4.523 0.000
0.000 0.000 4.523
ATOMIC_POSITIONS angstrom
Al 0.000 0.000 0.000
As 2.262 2.262 2.262
S 0.000 0.000 2.262
S 0.000 2.262 0.000
S 2.262 0.000 0.000
```

Output
Its space group is Pm-3m (221). For the total magnetization, the calculation gives 0.0 μB/cell. The value obtained for the formation energy without anion corrections is 159 meV/atom.

***

(3)
Below is a PBEsol-optimized structure of BaSr2Br, with properties calculated at the SCAN level. Values from VASP.

```
&SYSTEM
  ibrav = 0, nat = 4, ntyp = 3
/
ATOMIC_SPECIES
Ba 137.33 Ba.upf
Sr 87.62 Sr.upf
Br 79.90 Br.upf
CELL_PARAMETERS angstrom
5.068 0.000 0.000
0.000 5.068 0.000
0.000 0.000 7.370
ATOMIC_POSITIONS angstrom
Ba 0.000 0.000 0.000
Sr 0.000 2.534 3.685
Sr 2.534 0.000 3.685
Br 2.534 2.534 0.000
```

Output
Its space group is P4/mmm (123). For the total magnetization, the calculation gives 0.0 μB/cell. The value obtained for the formation energy without anion corrections is -455 meV/atom.

***

no.,density (g cm⁻³)
1,5.93
2,3.55
3,3.44